No. 1
# La2NdMnS5 PBE-GGA relaxed
data_La2NdMnS5
_chemical_formula_sum 'La8 Nd4 Mn4 S20'
_symmetry_space_group_name_H-M 'C m c 21'
_symmetry_Int_Tables_number 36
_cell_length_a 4.016
_cell_length_b 16.892
_cell_length_c 12.266
_cell_angle_alpha 90.00
_cell_angle_beta 90.00
_cell_angle_gamma 90.00
loop_
_symmetry_equiv_pos_as_xyz
'x,y,z'
'-x,-y,z+1/2'
'-x,y,z'
'x,-y,z+1/2'
'x+1/2,y+1/2,z'
'-x+1/2,-y+1/2,z+1/2'
'-x+1/2,y+1/2,z'
'x+1/2,-y+1/2,z+1/2'
loop_
_atom_site_label
_atom_site_fract_x
_atom_site_fract_y
_atom_site_fract_z
La1 0.000 0.118 0.000
La2 0.000 0.125 0.653
Nd1 0.000 0.182 0.336
Mn1 0.000 0.453 0.733
S1 0.000 0.013 0.322
S2 0.000 0.300 0.999
S3 0.000 0.318 0.668
S4 0.000 0.347 0.326
S5 0.000 0.492 0.062
# E (eV per atom): -6.730
# Raw formation energy (eV per atom): -1.794
# D(E_F) (states/eV per atom): 0.41
# Density (g/cm3): 5.1

No. 2
# La2NdMnSe5 PBE-GGA relaxed
data_La2NdMnSe5
_chemical_formula_sum 'La8 Nd4 Mn4 Se20'
_symmetry_space_group_name_H-M 'C m c 21'
_symmetry_Int_Tables_number 36
_cell_length_a 4.165
_cell_length_b 17.714
_cell_length_c 12.741
_cell_angle_alpha 90.00
_cell_angle_beta 90.00
_cell_angle_gamma 90.00
loop_
_symmetry_equiv_pos_as_xyz
'x,y,z'
'-x,-y,z+1/2'
'-x,y,z'
'x,-y,z+1/2'
'x+1/2,y+1/2,z'
'-x+1/2,-y+1/2,z+1/2'
'-x+1/2,y+1/2,z'
'x+1/2,-y+1/2,z+1/2'
loop_
_atom_site_label
_atom_site_fract_x
_atom_site_fract_y
_atom_site_fract_z
La1 0.000 0.120 0.000
La2 0.000 0.120 0.348
Nd1 0.000 0.182 0.681
Mn1 0.000 0.448 0.080
Se1 0.000 0.014 0.673
Se2 0.000 0.302 0.346
Se3 0.000 0.313 0.012
Se4 0.000 0.347 0.673
Se5 0.000 0.494 0.406
# E (eV per atom): -6.223
# Raw formation energy (eV per atom): -1.643
# D(E_F) (states/eV per atom): 0.41
# Density (g/cm3): 6.2

No. 3
# LaNdMnZn PBE-GGA relaxed
data_LaNdMnZn
_chemical_formula_sum 'La4 Nd4 Mn4 Zn4'
_symmetry_space_group_name_H-M 'F -4 3 m'
_symmetry_Int_Tables_number 216
_symmetry_space_group_name_Hall 'F -4 2 3'
_cell_length_a 7.420
_cell_length_b 7.420
_cell_length_c 7.420
_cell_angle_alpha 90.00
_cell_angle_beta 90.00
_cell_angle_gamma 90.00
loop_
_atom_site_label
_atom_site_fract_x
_atom_site_fract_y
_atom_site_fract_z
La1 0.000 0.000 0.000
Nd1 0.000 0.000 0.500
Mn1 0.250 0.250 0.250
Zn1 0.250 0.250 0.750
# E (eV per atom): -5.022
# Formation enthalpy at 0 K (meV per atom): 13
# D(E_F) (states/eV per atom): 1.29
# Density (g/cm3): 6.6